Record 1
Cd3Ga2Ag7 | the Alexandria database | PBE | optimized geometry; total magnetic moment = 0.00 μB/f.u.; crystal system = trigonal; ΔE to the lowest computed polymorph = 0.090 eV per atom; DFT formation energy = 0.0761 eV/atom; calculated total energy = -0.0853 hartree per atom
1.0
2.8014 1.6174 8.7945
-2.8014 1.6174 8.7945
0.0000 -3.2347 8.7945
Cd Ga Ag
3 2 7
Direct
0.0000 0.0000 0.0000
0.1469 0.1469 0.1469
0.8531 0.8531 0.8531
0.3333 0.3333 0.3333
0.6667 0.6667 0.6667
0.0786 0.5840 0.5840
0.4160 0.4160 0.9214
0.4160 0.9214 0.4160
0.5000 0.5000 0.5000
0.5840 0.0786 0.5840
0.5840 0.5840 0.0786
0.9214 0.4160 0.4160

Record 2
NaTl4Cd4 | the Alexandria database | PBE | optimized geometry; total magnetic moment = 0.00 μB/f.u.; crystal system = tetragonal; DFT formation energy = -0.0077 eV/atom; calculated total energy = -0.0593 hartree per atom
1.0
-5.3177 5.3177 2.1405
5.3177 -5.3177 2.1405
5.3177 5.3177 -2.1405
Na Tl Cd
1 4 4
Direct
0.0000 0.0000 0.0000
0.3324 0.6649 0.9973
0.3351 0.3324 0.6674
0.6649 0.6676 0.3326
0.6676 0.3351 0.0027
0.0015 0.6550 0.6565
0.3450 0.0015 0.3465
0.6550 0.9985 0.6535
0.9985 0.3450 0.3435

Record 3
In2ReAu | the Alexandria database | PBE | optimized geometry; total magnetic moment = 0.03 μB/f.u.; crystal system = tetragonal; ΔE to the lowest computed polymorph = 0.159 eV per atom; DFT formation energy = 0.5077 eV/atom; calculated total energy = -0.1761 hartree per atom
1.0
3.6475 0.0000 0.0000
0.0000 3.6475 0.0000
0.0000 0.0000 5.8168
In Re Au
2 1 1
Direct
0.0000 0.0000 0.0000
0.5000 0.5000 0.3054
0.0000 0.0000 0.5012
0.5000 0.5000 0.7810

Record 4
Pu3Pa2O9 | the Alexandria database | PBE | optimized geometry; total magnetic moment = 14.06 μB/f.u.; formation energy (no corrections) = -45.15 eV per formula unit; crystal system = tetragonal; calculated total energy = -0.3984 hartree per atom
1.0
-1.9342 1.9342 13.6319
1.9342 -1.9342 13.6319
1.9342 1.9342 -13.6319
Pu Pa O
3 2 9
Direct
0.0000 0.0000 0.0000
0.4048 0.4048 0.0000
0.5952 0.5952 0.0000
0.1963 0.1963 0.0000
0.8037 0.8037 0.0000
0.0514 0.5514 0.5000
0.1590 0.6590 0.5000
0.3410 0.8410 0.5000
0.4486 0.9486 0.5000
0.5491 0.0491 0.5000
0.6523 0.1523 0.5000
0.7500 0.2500 0.5000
0.8477 0.3477 0.5000
0.9509 0.4509 0.5000

Record 5
Pm2YEr2 | the Alexandria database | PBE | optimized geometry; total magnetic moment = 0.00 μB/f.u.; crystal system = monoclinic; ΔE to the lowest computed polymorph = 0.008 eV per atom; DFT formation energy = 0.0198 eV/atom; calculated total energy = -0.1837 hartree per atom
1.0
5.6510 -2.5279 0.0000
5.6510 2.5279 0.0000
-5.6341 0.0000 5.6638
Pm Y Er
2 1 2
Direct
0.2011 0.2011 0.2993
0.7989 0.7989 0.7007
0.0000 0.0000 0.5000
0.3992 0.3992 0.0980
0.6008 0.6008 0.9020

Record 6
BaSnO3 | the Alexandria database | PBE | optimized geometry; total magnetic moment = 0.00 μB/f.u.; formation energy (no corrections) = -9.83 eV per formula unit; crystal system = hexagonal; calculated total energy = -0.2251 hartree per atom
1.0
3.9485 0.0000 0.0000
-1.9742 3.4195 0.0000
0.0000 0.0000 13.2811
Ba Sn O
2 2 6
Direct
0.0000 0.0000 0.0000
0.0000 0.0000 0.5000
0.3333 0.6667 0.2500
0.6667 0.3333 0.7500
0.0000 0.0000 0.2500
0.0000 0.0000 0.7500
0.3333 0.6667 0.1033
0.3333 0.6667 0.3967
0.6667 0.3333 0.6033
0.6667 0.3333 0.8967

Record 7
LiTmLuFe | the Alexandria database | PBE | optimized geometry; total magnetic moment = 0.00 μB/f.u.; crystal system = cubic; DFT formation energy = 0.0417 eV/atom; calculated total energy = -0.1764 hartree per atom
1.0
0.0000 3.3634 3.3634
3.3634 0.0000 3.3634
3.3634 3.3634 0.0000
Li Tm Lu Fe
1 1 1 1
Direct
0.0000 0.0000 0.0000
0.7500 0.7500 0.7500
0.2500 0.2500 0.2500
0.5000 0.5000 0.5000

Record 8
Dy2Tm2Te7 | the Alexandria database | PBE | optimized geometry; total magnetic moment = 0.00 μB/f.u.; formation energy (no corrections) = -12.88 eV per formula unit; crystal system = orthorhombic; calculated total energy = -0.1771 hartree per atom
1.0
-2.0999 7.9105 4.9013
2.0999 -7.9105 4.9013
2.0999 7.9105 -4.9013
Dy Tm Te
2 2 7
Direct
0.2422 0.0000 0.2422
0.7578 0.0000 0.7578
0.3267 0.8267 0.5000
0.7740 0.7740 0.0000
0.0249 0.7010 0.3239
0.0931 0.0931 0.0000
0.3770 0.7010 0.6761
0.3898 0.4984 0.8914
0.6071 0.4984 0.1086
0.6720 0.3136 0.3584
0.9552 0.3136 0.6416

Record 9
InTc2HBr | the Alexandria database | PBE | optimized geometry; total magnetic moment = 8.69 μB/f.u.; crystal system = tetragonal; calculated total energy = -0.1325 hartree per atom
1.0
5.3118 0.0000 0.0000
0.0000 5.3118 0.0000
0.0000 0.0000 5.8943
In Tc H Br
1 2 1 1
Direct
0.0000 0.0000 0.0000
0.0000 0.5000 0.0000
0.5000 0.0000 0.0000
0.5000 0.5000 0.5000
0.0000 0.0000 0.5000

Record 10
Np2Te | the Alexandria database | PBE | optimized geometry; total magnetic moment = 0.00 μB/f.u.; formation energy (no corrections) = -0.31 eV per formula unit; crystal system = tetragonal; calculated total energy = -0.3593 hartree per atom
1.0
-1.7460 1.7460 5.0661
1.7460 -1.7460 5.0661
1.7460 1.7460 -5.0661
Np Te
2 1
Direct
0.2073 0.2073 0.0000
0.7927 0.7927 0.0000
0.5000 0.5000 0.0000

Record 11
Nd2Ru3C2 | the Alexandria database | PBE | optimized geometry; total magnetic moment = 0.00 μB/f.u.; crystal system = monoclinic; DFT formation energy = 0.1375 eV/atom; calculated total energy = -0.2880 hartree per atom
1.0
5.2833 -1.5886 0.0000
5.2833 1.5886 0.0000
-2.7868 0.0000 7.0863
Nd Ru C
2 3 2
Direct
0.1527 0.1527 0.2577
0.8473 0.8473 0.7423
0.3727 0.3727 0.1299
0.5000 0.5000 0.5000
0.6273 0.6273 0.8701
0.0883 0.0883 0.7067
0.9117 0.9117 0.2933

Record 12
Li2CdSnBi | the Alexandria database | PBE | optimized geometry; total magnetic moment = 0.00 μB/f.u.; crystal system = tetragonal; DFT formation energy = 0.1600 eV/atom; calculated total energy = -0.0869 hartree per atom
1.0
5.1255 0.0000 0.0000
0.0000 5.1255 0.0000
0.0000 0.0000 5.7773
Li Cd Sn Bi
2 1 1 1
Direct
0.0000 0.5000 0.0000
0.5000 0.0000 0.0000
0.0000 0.0000 0.5000
0.5000 0.5000 0.5000
0.0000 0.0000 0.0000

Record 13
LiCd2Cl | the Alexandria database | PBE | optimized geometry; total magnetic moment = 0.00 μB/f.u.; formation energy (no corrections) = -1.86 eV per formula unit; crystal system = orthorhombic; ΔE to the lowest computed polymorph = 0.218 eV per atom; calculated total energy = -0.0684 hartree per atom
1.0
2.7212 -4.7870 0.0000
2.7212 4.7870 0.0000
0.0000 0.0000 3.6137
Li Cd Cl
1 2 1
Direct
0.0000 0.0000 0.0000
0.0000 0.5000 0.5000
0.5000 0.0000 0.5000
0.5000 0.5000 0.0000

Record 14
K3Bi2 | the Alexandria database | PBE | optimized geometry; total magnetic moment = 0.00 μB/f.u.; crystal system = monoclinic; ΔE to the lowest computed polymorph = 0.000 eV per atom; DFT formation energy = -0.3436 eV/atom; calculated total energy = -0.0939 hartree per atom
1.0
4.7338 -4.9507 0.0000
4.7338 4.9507 0.0000
-2.4206 0.0000 9.1038
K Bi
6 4
Direct
0.1546 0.8454 0.7500
0.2407 0.3480 0.0147
0.3480 0.2407 0.5147
0.6520 0.7593 0.4853
0.7593 0.6520 0.9853
0.8454 0.1546 0.2500
0.1129 0.6778 0.3467
0.3222 0.8871 0.1533
0.6778 0.1129 0.8467
0.8871 0.3222 0.6533

Record 15
Sr3Mg4Pb4 | the Alexandria database | PBE | optimized geometry; total magnetic moment = 0.00 μB/f.u.; crystal system = orthorhombic; DFT formation energy = -0.3974 eV/atom; calculated total energy = -0.1023 hartree per atom
1.0
-2.5124 3.9823 8.2687
2.5124 -3.9823 8.2687
2.5124 3.9823 -8.2687
Sr Mg Pb
3 4 4
Direct
0.0000 0.0000 0.0000
0.3809 0.8809 0.5000
0.6191 0.1191 0.5000
0.0239 0.3286 0.6953
0.3668 0.6714 0.6953
0.6332 0.3286 0.3047
0.9761 0.6714 0.3047
0.2181 0.2181 0.0000
0.3017 0.5000 0.8017
0.6983 0.5000 0.1983
0.7819 0.7819 0.0000

Record 16
Tc2TeRh | the Alexandria database | PBE | optimized geometry; total magnetic moment = 1.06 μB/f.u.; formation energy (no corrections) = 1.43 eV per formula unit; crystal system = tetragonal; calculated total energy = -0.2737 hartree per atom
1.0
3.8686 0.0000 0.0000
0.0000 3.8686 0.0000
0.0000 0.0000 4.3036
Tc Te Rh
2 1 1
Direct
0.0000 0.5000 0.0000
0.5000 0.0000 0.0000
0.0000 0.0000 0.5000
0.5000 0.5000 0.5000

Record 17
Rb2NpHgCl6 | the Alexandria database | PBE | optimized geometry; total magnetic moment = 3.00 μB/f.u.; formation energy (no corrections) = -16.43 eV per formula unit; crystal system = trigonal; calculated total energy = -0.1569 hartree per atom
1.0
4.0616 2.3450 7.4174
-4.0616 2.3450 7.4174
0.0000 -4.6900 7.4174
Rb Np Hg Cl
2 1 1 6
Direct
0.0000 0.0000 0.0000
0.4745 0.4745 0.4745
0.8049 0.8049 0.8049
0.2944 0.2944 0.2944
0.0036 0.4666 0.7471
0.1431 0.8544 0.6302
0.4666 0.7471 0.0036
0.6302 0.1431 0.8544
0.7471 0.0036 0.4666
0.8544 0.6302 0.1431

Record 18
InSiSeN2 | the Alexandria database | PBE | optimized geometry; total magnetic moment = 0.25 μB/f.u.; formation energy (no corrections) = 2.44 eV per formula unit; crystal system = tetragonal; ΔE to the lowest computed polymorph = 0.000 eV per atom; calculated total energy = -0.1900 hartree per atom
1.0
3.6461 0.0000 0.0000
0.0000 3.6461 0.0000
0.0000 0.0000 5.7797
In Si Se N
1 1 1 2
Direct
0.0000 0.0000 0.0000
0.5000 0.5000 0.5000
0.5000 0.5000 0.0000
0.0000 0.5000 0.5000
0.5000 0.0000 0.5000

Record 19
Al2CrCSe | the Alexandria database | PBE | optimized geometry; total magnetic moment = 3.59 μB/f.u.; formation energy (no corrections) = 1.29 eV per formula unit; crystal system = tetragonal; calculated total energy = -0.2097 hartree per atom
1.0
3.9807 0.0000 0.0000
0.0000 3.9807 0.0000
0.0000 0.0000 4.5824
Al Cr C Se
2 1 1 1
Direct
0.0000 0.5000 0.0000
0.5000 0.0000 0.0000
0.0000 0.0000 0.5000
0.0000 0.0000 0.0000
0.5000 0.5000 0.5000

Record 20
SmTmTlIr | the Alexandria database | PBE | optimized geometry; total magnetic moment = 0.00 μB/f.u.; crystal system = cubic; DFT formation energy = -0.4527 eV/atom; calculated total energy = -0.2042 hartree per atom
1.0
0.0000 3.6205 3.6205
3.6205 0.0000 3.6205
3.6205 3.6205 0.0000
Sm Tm Tl Ir
1 1 1 1
Direct
0.0000 0.0000 0.0000
0.5000 0.5000 0.5000
0.7500 0.7500 0.7500
0.2500 0.2500 0.2500

Record 21
SnOsW3 | the Alexandria database | PBE | optimized geometry; total magnetic moment = 0.00 μB/f.u.; crystal system = cubic; ΔE to the lowest computed polymorph = 0.000 eV per atom; DFT formation energy = 1.8213 eV/atom; calculated total energy = -0.3306 hartree per atom
1.0
4.7858 0.0000 0.0000
0.0000 4.7858 0.0000
0.0000 0.0000 4.7858
Sn Os W
1 1 3
Direct
0.0000 0.0000 0.0000
0.5000 0.5000 0.5000
0.0000 0.5000 0.5000
0.5000 0.0000 0.5000
0.5000 0.5000 0.0000

Record 22
CdMoSe2 | the Alexandria database | PBE | optimized geometry; total magnetic moment = 0.00 μB/f.u.; formation energy (no corrections) = 0.97 eV per formula unit; crystal system = cubic; ΔE to the lowest computed polymorph = 0.544 eV per atom; calculated total energy = -0.1630 hartree per atom
1.0
0.0000 3.3217 3.3217
3.3217 0.0000 3.3217
3.3217 3.3217 0.0000
Cd Mo Se
1 1 2
Direct
0.0000 0.0000 0.0000
0.5000 0.5000 0.5000
0.2500 0.2500 0.2500
0.7500 0.7500 0.7500

Record 23
Nb2HOsPt | the Alexandria database | PBE | optimized geometry; total magnetic moment = 0.00 μB/f.u.; crystal system = tetragonal; ΔE to the lowest computed polymorph = 0.052 eV per atom; calculated total energy = -0.3096 hartree per atom
1.0
4.1229 0.0000 0.0000
0.0000 4.1229 0.0000
0.0000 0.0000 3.9619
Nb H Os Pt
2 1 1 1
Direct
0.0000 0.5000 0.0000
0.5000 0.0000 0.0000
0.0000 0.0000 0.0000
0.5000 0.5000 0.5000
0.0000 0.0000 0.5000

Record 24
NiBRh | the Alexandria database | PBE | optimized geometry; total magnetic moment = 0.00 μB/f.u.; crystal system = monoclinic; DFT formation energy = -0.2639 eV/atom; calculated total energy = -0.2524 hartree per atom
1.0
4.2639 -1.4634 0.0000
4.2639 1.4634 0.0000
-3.4192 0.0000 4.9370
Ni B Rh
2 2 2
Direct
0.1832 0.1832 0.0930
0.8168 0.8168 0.9070
0.1337 0.1337 0.6731
0.8663 0.8663 0.3269
0.4267 0.4267 0.6500
0.5733 0.5733 0.3500

Record 25
CsLi3Be | the Alexandria database | PBE | optimized geometry; total magnetic moment = 0.00 μB/f.u.; crystal system = cubic; ΔE to the lowest computed polymorph = 0.922 eV per atom; DFT formation energy = 1.3645 eV/atom; calculated total energy = -0.0257 hartree per atom
1.0
5.2675 0.0000 0.0000
0.0000 5.2675 0.0000
0.0000 0.0000 5.2675
Cs Li Be
1 3 1
Direct
0.0000 0.0000 0.0000
0.0000 0.0000 0.5000
0.0000 0.5000 0.0000
0.5000 0.0000 0.0000
0.5000 0.5000 0.5000